Entry from Alexandria via LeMat-Bulk: a geometry-optimized TbHo5Tm5 structure (GGA-PBE).

Cell lengths 6.7453, 6.8795, 8.1988 Å; angles 76.22, 76.84, 72.67 degrees
Space group P-1 (No. 2)
One atom of each set of equivalent atoms:
1 Tb 0.0000 0.0000 0.0000 [1 per cell]
2 Ho 0.0000 0.5000 0.0000 [1 per cell]
3 Ho 0.1580 0.6302 0.3585 [2 per cell]
4 Ho 0.3266 0.7655 0.6547 [2 per cell]
5 Tm 0.2080 0.1376 0.3163 [2 per cell]
6 Tm 0.3524 0.2481 0.7191 [2 per cell]
7 Tm 0.5000 0.5000 0.0000 [1 per cell]

Calculated values
- Formation energy from the elements: 0.15 eV/atom
- VASP energy: -4.386 eV per atom
- Density: 8732 kg/m3
- E above lowest polymorph: 0 meV per atom
- Total magnetic moment: 0.00 μB per formula unit